The following is a DFT calculation (PBE-GGA) of a relaxed La2CeEu crystal.

a = 3.641 Å, b = 3.641 Å, c = 10.669 Å
α = 90.00°, β = 90.00°, γ = 90.00°
Positions (direct):
La  0.000  0.000  0.221
La  0.000  0.000  0.779
Ce  0.500  0.500  0.000
Eu  0.500  0.500  0.500

Output
Excess energy over the best structure of this formula in the dataset (meV/atom): 0
Total magnetization (μB per formula unit): 7.9
ΔE_f (meV/atom): 59.3